{
  "formula": "NdScRh",
  "functional": "GGA-PBE",
  "state": "relaxed",
  "cell": [[4.847, 0.000, 0.000], [0.000, 4.258, 0.000], [0.000, -2.129, 3.688]],
  "species": ["Nd", "Rh", "Sc"],
  "fractional_positions": [[0.717, 0.667, 0.333], [0.064, 0.000, 0.000], [0.219, 0.333, 0.667]],
  "dos_ef_per_ev_atom": 1.3484,
  "formation_energy_mev_per_atom": -397,
  "e_above_lowest_polymorph_ev_per_atom": 0.219,
  "dft_energy_ev_per_atom": -6.547
}